Record 1
Density functional theory data (GGA-PBE) for a geometry-optimized Zr3Tl4NiS8 structure.

a = 7.3375 Å, b = 7.3375 Å, c = 9.0800 Å
α = 113.98°, β = 113.98°, γ = 59.92°
Fractional positions:
Zr  0.0000  0.0000  0.0000
Zr  0.0000  0.5000  0.0000
Zr  0.5000  0.0000  0.0000
Tl  0.0000  0.0000  0.5000
Tl  0.0000  0.5000  0.5000
Tl  0.5000  0.0000  0.5000
Tl  0.5000  0.5000  0.5000
Ni  0.5000  0.5000  0.0000
S  0.2290  0.2290  0.1870
S  0.2381  0.7202  0.1777
S  0.2796  0.2796  0.8221
S  0.2798  0.7619  0.8223
S  0.7202  0.2381  0.1777
S  0.7204  0.7204  0.1779
S  0.7619  0.2798  0.8223
S  0.7710  0.7710  0.8130

Summary:
As for the raw formation energy: -924 meV/atom. Its space group is C2/m, No. 12.

Record 2
Density functional theory data (GGA-PBE) for a geometry-optimized Hf6OsRu5 structure.

a = 7.9473 Å, b = 7.9473 Å, c = 7.9473 Å
α = 146.37°, β = 131.94°, γ = 59.93°
Fractional positions:
Hf  0.0832  0.3333  0.7499
Hf  0.2499  0.0000  0.2499
Hf  0.4166  0.6667  0.7499
Hf  0.5834  0.3333  0.2501
Hf  0.7501  0.0000  0.7501
Hf  0.9168  0.6667  0.2501
Os  0.5000  0.5000  0.0000
Ru  0.0000  0.5000  0.5000
Ru  0.1669  0.1669  0.0000
Ru  0.3333  0.8333  0.5000
Ru  0.6667  0.1667  0.5000
Ru  0.8331  0.8331  0.0000

Summary:
Its space group is Immm, No. 71. For the formation energy, the calculation gives -798 meV/atom.

Record 3
Density functional theory data (GGA-PBE) for a geometry-optimized Ce2U4P3N2 structure.

a = 11.6991 Å, b = 11.6991 Å, c = 11.6991 Å
α = 157.94°, β = 157.94°, γ = 31.40°
Fractional positions:
Ce  0.1985  0.1985  0.0000
Ce  0.8015  0.8015  0.0000
U  0.0817  0.5817  0.5000
U  0.4183  0.9183  0.5000
U  0.5817  0.0817  0.5000
U  0.9183  0.4183  0.5000
P  0.3312  0.3312  0.0000
P  0.5000  0.5000  0.0000
P  0.6688  0.6688  0.0000
N  0.0850  0.0850  0.0000
N  0.9150  0.9150  0.0000

Summary:
As for the raw formation energy: -901 meV/atom. Its space group is I4/mmm, No. 139.

Record 4
Density functional theory data (GGA-PBE) for a geometry-optimized Cs2TeF6 structure.

a = 6.7033 Å, b = 6.7033 Å, c = 6.7033 Å
α = 60.00°, β = 60.00°, γ = 60.00°
Fractional positions:
Cs  0.2500  0.2500  0.2500
Cs  0.7500  0.7500  0.7500
Te  0.0000  0.0000  0.0000
F  0.2210  0.2210  0.7790
F  0.2210  0.7790  0.2210
F  0.2210  0.7790  0.7790
F  0.7790  0.2210  0.2210
F  0.7790  0.2210  0.7790
F  0.7790  0.7790  0.2210

Summary:
As for the raw formation energy: -2491 meV/atom. Its space group is Fm-3m, No. 225.

Record 5
Density functional theory data (GGA-PBE) for a geometry-optimized Mg3Ni structure.

a = 5.2348 Å, b = 5.2348 Å, c = 5.2348 Å
α = 90.00°, β = 90.00°, γ = 90.00°
Fractional positions:
Mg  0.0000  0.2500  0.5000
Mg  0.0000  0.7500  0.5000
Mg  0.2500  0.5000  0.0000
Mg  0.5000  0.0000  0.2500
Mg  0.5000  0.0000  0.7500
Mg  0.7500  0.5000  0.0000
Ni  0.0000  0.0000  0.0000
Ni  0.5000  0.5000  0.5000

Summary:
Its space group is Pm-3n, No. 223. For the formation energy, the calculation gives 38 meV/atom.

Record 6
Density functional theory data (GGA-PBE) for a geometry-optimized Pu2BeN3 structure.

a = 6.6132 Å, b = 3.3335 Å, c = 12.9146 Å
α = 90.00°, β = 90.00°, γ = 90.00°
Fractional positions:
Pu  0.0782  0.2500  0.2211
Pu  0.2430  0.2500  0.9616
Pu  0.2570  0.7500  0.4616
Pu  0.4218  0.7500  0.7211
Pu  0.5782  0.2500  0.2789
Pu  0.7430  0.2500  0.5384
Pu  0.7570  0.7500  0.0384
Pu  0.9218  0.7500  0.7789
Be  0.1346  0.2500  0.6334
Be  0.3654  0.7500  0.1334
Be  0.6346  0.2500  0.8666
Be  0.8654  0.7500  0.3666
N  0.0134  0.7500  0.6051
N  0.1316  0.7500  0.0725
N  0.1817  0.2500  0.7691
N  0.3183  0.7500  0.2691
N  0.3684  0.2500  0.5725
N  0.4866  0.2500  0.1051
N  0.5134  0.7500  0.8949
N  0.6316  0.7500  0.4275
N  0.6817  0.2500  0.7309
N  0.8183  0.7500  0.2309
N  0.8684  0.2500  0.9275
N  0.9866  0.2500  0.3949

Summary:
As for the raw formation energy: -1185 meV/atom. Its space group is Pnma, No. 62.

Record 7
Density functional theory data (GGA-PBE) for a geometry-optimized Ce2Be3PdPt4 structure.

a = 3.9806 Å, b = 3.9806 Å, c = 10.5541 Å
α = 90.00°, β = 90.00°, γ = 90.00°
Fractional positions:
Ce  0.0000  0.5000  0.2478
Ce  0.5000  0.0000  0.7522
Be  0.0000  0.5000  0.8885
Be  0.5000  0.0000  0.1115
Be  0.5000  0.5000  0.5000
Pd  0.0000  0.0000  0.5000
Pt  0.0000  0.0000  0.0000
Pt  0.0000  0.5000  0.6709
Pt  0.5000  0.0000  0.3291
Pt  0.5000  0.5000  0.0000

Summary:
Its space group is P-4m2, No. 115. For the formation energy, the calculation gives -807 meV/atom.

Record 8
Density functional theory data (GGA-PBE) for a geometry-optimized AcEr2Tm7 structure.

a = 6.5889 Å, b = 6.6701 Å, c = 7.8920 Å
α = 74.04°, β = 72.59°, γ = 84.85°
Fractional positions:
Ac  0.0000  0.0000  0.0000
Er  0.2017  0.5693  0.7821
Er  0.7983  0.4307  0.2179
Tm  0.0000  0.0000  0.5000
Tm  0.2166  0.5260  0.3401
Tm  0.4412  0.2323  0.0642
Tm  0.4582  0.1692  0.6164
Tm  0.5418  0.8308  0.3836
Tm  0.5588  0.7677  0.9358
Tm  0.7834  0.4740  0.6599

Summary:
Its space group is P-1, No. 2. For the formation energy, the calculation gives 88 meV/atom.

Record 9
Density functional theory data (GGA-PBE) for a geometry-optimized RbPm2AgTe4 structure.

a = 8.0743 Å, b = 8.0743 Å, c = 16.0492 Å
α = 90.00°, β = 90.00°, γ = 147.19°
Fractional positions:
Rb  0.1211  0.8789  0.7500
Rb  0.8789  0.1211  0.2500
Pm  0.3684  0.6316  0.5678
Pm  0.3684  0.6316  0.9322
Pm  0.6316  0.3684  0.0678
Pm  0.6316  0.3684  0.4322
Ag  0.1597  0.8403  0.2500
Ag  0.8403  0.1597  0.7500
Te  0.0000  0.0000  0.0000
Te  0.0000  0.0000  0.5000
Te  0.2657  0.7343  0.1064
Te  0.2657  0.7343  0.3936
Te  0.4448  0.5552  0.7500
Te  0.5552  0.4448  0.2500
Te  0.7343  0.2657  0.6064
Te  0.7343  0.2657  0.8936

Summary:
As for the raw formation energy: -1176 meV/atom. Its space group is Cmcm, No. 63.

Record 10
Density functional theory data (GGA-PBE) for a geometry-optimized KSr2P structure.

a = 11.5816 Å, b = 11.5816 Å, c = 11.5816 Å
α = 22.31°, β = 22.31°, γ = 22.31°
Fractional positions:
K  0.0000  0.0000  0.0000
Sr  0.5452  0.5452  0.5452
Sr  0.7863  0.7863  0.7863
P  0.1657  0.1657  0.1657

Summary:
Its space group is R3m, No. 160. For the formation energy, the calculation gives -628 meV/atom.

Record 11
Density functional theory data (GGA-PBE) for a geometry-optimized Pm8IrAu2 structure.

a = 9.3483 Å, b = 9.3483 Å, c = 6.9807 Å
α = 101.03°, β = 101.03°, γ = 32.13°
Fractional positions:
Pm  0.0284  0.0284  0.2846
Pm  0.2033  0.2033  0.8248
Pm  0.3409  0.3409  0.5320
Pm  0.4130  0.4130  0.0631
Pm  0.5870  0.5870  0.9369
Pm  0.6591  0.6591  0.4680
Pm  0.7967  0.7967  0.1752
Pm  0.9716  0.9716  0.7154
Ir  0.5000  0.5000  0.5000
Au  0.1919  0.1919  0.2385
Au  0.8081  0.8081  0.7615

Summary:
Its space group is C2/m, No. 12. For the formation energy, the calculation gives -434 meV/atom.

Record 12
Density functional theory data (GGA-PBE) for a geometry-optimized Cd3InRe structure.

a = 5.3777 Å, b = 5.3777 Å, c = 5.3777 Å
α = 90.00°, β = 90.00°, γ = 90.00°
Fractional positions:
Cd  0.0000  0.0000  0.5000
Cd  0.0000  0.5000  0.0000
Cd  0.5000  0.0000  0.0000
In  0.0000  0.0000  0.0000
Re  0.5000  0.5000  0.5000

Summary:
Its space group is Pm-3m, No. 221. For the formation energy, the calculation gives 1539 meV/atom. The relative energy among the computed polymorphs comes out at 58.5 kJ/mol of atoms.

What are the volume values for these records? In order: 23.349 17.073 20.523 23.665 17.932 11.863 16.723 31.818 35.431 49.069 28.904 31.104 A^3/atom.
What are the total magnetic moment values for these records? In order: 1.10 0.00 9.04 0.00 0.00 35.95 1.49 0.00 0.00 0.00 0.00 4.13 Bohr magnetons per cell.